# 1
# Nd4AuCBr2 (PBE, relaxed)
data_Nd4AuCBr2
_chemical_formula_sum 'Nd4 Au1 C1 Br2'
_space_group_name_H-M_alt 'P 1 2/m 1'
_space_group_IT_number 10
_space_group_name_Hall '-P 2y'
_cell_length_a 7.492
_cell_length_b 3.973
_cell_length_c 7.612
_cell_angle_alpha 90.00
_cell_angle_beta 107.45
_cell_angle_gamma 90.00
loop_
_atom_site_label
_atom_site_fract_x
_atom_site_fract_y
_atom_site_fract_z
_atom_site_occupancy
Nd1 0.201 0.000 0.192 1
Nd2 0.220 0.500 0.796 1
Au1 0.500 0.000 0.000 1
C1 0.000 0.500 0.000 1
Br1 0.000 0.000 0.500 1
Br2 0.500 0.500 0.500 1
# Uncorrected formation energy: -82 kJ per mole of atoms
# Total energy: -5.2108 eV per atom
# Calculated density: 7.3 g/cm3
# DOS at the Fermi energy: 6.47 states/eV per cell

---

# 2
# NiAuCBr2 (PBE, relaxed)
data_NiAuCBr2
_chemical_formula_sum 'Ni1 Au1 C1 Br2'
_space_group_name_H-M_alt 'P 4/m m m'
_space_group_IT_number 123
_space_group_name_Hall '-P 4 2'
_cell_length_a 5.194
_cell_length_b 5.194
_cell_length_c 3.549
_cell_angle_alpha 90.00
_cell_angle_beta 90.00
_cell_angle_gamma 90.00
loop_
_atom_site_label
_atom_site_fract_x
_atom_site_fract_y
_atom_site_fract_z
_atom_site_occupancy
Ni1 0.000 0.000 0.000 1
Au1 0.500 0.500 0.500 1
C1 0.000 0.000 0.500 1
Br1 0.000 0.500 0.000 1
# Uncorrected formation energy: 82 kJ per mole of atoms
# Total energy: -3.4741 eV per atom
# Calculated density: 7.4 g/cm3
# DOS at the Fermi energy: 1.17 states/eV per cell

---

# 3
# Ni2AuCBr (PBE, relaxed)
data_Ni2AuCBr
_chemical_formula_sum 'Ni2 Au1 C1 Br1'
_space_group_name_H-M_alt 'P 4/m m m'
_space_group_IT_number 123
_space_group_name_Hall '-P 4 2'
_cell_length_a 3.693
_cell_length_b 3.693
_cell_length_c 6.578
_cell_angle_alpha 90.00
_cell_angle_beta 90.00
_cell_angle_gamma 90.00
loop_
_atom_site_label
_atom_site_fract_x
_atom_site_fract_y
_atom_site_fract_z
_atom_site_occupancy
Ni1 0.000 0.500 0.000 1
Au1 0.000 0.000 0.500 1
C1 0.000 0.000 0.000 1
Br1 0.500 0.500 0.500 1
# Uncorrected formation energy: 63 kJ per mole of atoms
# Total energy: -4.4980 eV per atom
# Calculated density: 7.5 g/cm3
# DOS at the Fermi energy: 1.85 states/eV per cell

---

# 4
# P2AuCBr (PBE, relaxed)
data_P2AuCBr
_chemical_formula_sum 'P2 Au1 C1 Br1'
_space_group_name_H-M_alt 'P 4/m m m'
_space_group_IT_number 123
_space_group_name_Hall '-P 4 2'
_cell_length_a 4.901
_cell_length_b 4.901
_cell_length_c 3.862
_cell_angle_alpha 90.00
_cell_angle_beta 90.00
_cell_angle_gamma 90.00
loop_
_atom_site_label
_atom_site_fract_x
_atom_site_fract_y
_atom_site_fract_z
_atom_site_occupancy
P1 0.000 0.500 0.000 1
Au1 0.000 0.000 0.500 1
C1 0.500 0.500 0.500 1
Br1 0.500 0.500 0.000 1
# Uncorrected formation energy: 215 kJ per mole of atoms
# Total energy: -2.7722 eV per atom
# Calculated density: 6.3 g/cm3
# DOS at the Fermi energy: 3.92 states/eV per cell

---

# 5
# PbAuCBr2 (PBE, relaxed)
data_PbAuCBr2
_chemical_formula_sum 'Pb1 Au1 C1 Br2'
_space_group_name_H-M_alt 'P 4/m m m'
_space_group_IT_number 123
_space_group_name_Hall '-P 4 2'
_cell_length_a 5.225
_cell_length_b 5.225
_cell_length_c 5.827
_cell_angle_alpha 90.00
_cell_angle_beta 90.00
_cell_angle_gamma 90.00
loop_
_atom_site_label
_atom_site_fract_x
_atom_site_fract_y
_atom_site_fract_z
_atom_site_occupancy
Pb1 0.000 0.000 0.000 1
Au1 0.000 0.000 0.500 1
C1 0.500 0.500 0.000 1
Br1 0.000 0.500 0.500 1
# Uncorrected formation energy: 135 kJ per mole of atoms
# Total energy: -2.5068 eV per atom
# Calculated density: 6.0 g/cm3
# DOS at the Fermi energy: 6.81 states/eV per cell

---

# 6
# Pm4AuCBr2 (PBE, relaxed)
data_Pm4AuCBr2
_chemical_formula_sum 'Pm4 Au1 C1 Br2'
_space_group_name_H-M_alt 'P 1 2/m 1'
_space_group_IT_number 10
_space_group_name_Hall '-P 2y'
_cell_length_a 7.451
_cell_length_b 3.938
_cell_length_c 7.559
_cell_angle_alpha 90.00
_cell_angle_beta 107.58
_cell_angle_gamma 90.00
loop_
_atom_site_label
_atom_site_fract_x
_atom_site_fract_y
_atom_site_fract_z
_atom_site_occupancy
Pm1 0.200 0.000 0.191 1
Pm2 0.219 0.500 0.798 1
Au1 0.500 0.000 0.000 1
C1 0.000 0.500 0.000 1
Br1 0.000 0.000 0.500 1
Br2 0.500 0.500 0.500 1
# Uncorrected formation energy: -83 kJ per mole of atoms
# Total energy: -5.2123 eV per atom
# Calculated density: 7.5 g/cm3
# DOS at the Fermi energy: 6.37 states/eV per cell

---

# 7
# RbAuCBr2 (PBE, relaxed)
data_RbAuCBr2
_chemical_formula_sum 'Rb1 Au1 C1 Br2'
_space_group_name_H-M_alt 'P 4/m m m'
_space_group_IT_number 123
_space_group_name_Hall '-P 4 2'
_cell_length_a 6.444
_cell_length_b 6.444
_cell_length_c 6.499
_cell_angle_alpha 90.00
_cell_angle_beta 90.00
_cell_angle_gamma 90.00
loop_
_atom_site_label
_atom_site_fract_x
_atom_site_fract_y
_atom_site_fract_z
_atom_site_occupancy
Rb1 0.000 0.000 0.000 1
Au1 0.000 0.000 0.500 1
C1 0.500 0.500 0.500 1
Br1 0.000 0.500 0.000 1
# Uncorrected formation energy: 164 kJ per mole of atoms
# Total energy: -1.6667 eV per atom
# Calculated density: 2.8 g/cm3
# DOS at the Fermi energy: 15.72 states/eV per cell

---

# 8
# RhAu2CBr (PBE, relaxed)
data_RhAu2CBr
_chemical_formula_sum 'Rh1 Au2 C1 Br1'
_space_group_name_H-M_alt 'P 4/m m m'
_space_group_IT_number 123
_space_group_name_Hall '-P 4 2'
_cell_length_a 5.195
_cell_length_b 5.195
_cell_length_c 4.687
_cell_angle_alpha 90.00
_cell_angle_beta 90.00
_cell_angle_gamma 90.00
loop_
_atom_site_label
_atom_site_fract_x
_atom_site_fract_y
_atom_site_fract_z
_atom_site_occupancy
Rh1 0.000 0.000 0.000 1
Au1 0.000 0.500 0.000 1
C1 0.500 0.500 0.500 1
Br1 0.000 0.000 0.500 1
# Uncorrected formation energy: 193 kJ per mole of atoms
# Total energy: -2.9606 eV per atom
# Calculated density: 7.7 g/cm3
# DOS at the Fermi energy: 8.32 states/eV per cell
# Relative energy among the computed polymorphs: 0 meV per atom

---

# 9
# RhAu2CBr (PBE, relaxed)
data_RhAu2CBr
_chemical_formula_sum 'Rh1 Au2 C1 Br1'
_space_group_name_H-M_alt 'P 4/m m m'
_space_group_IT_number 123
_space_group_name_Hall '-P 4 2'
_cell_length_a 5.086
_cell_length_b 5.086
_cell_length_c 3.853
_cell_angle_alpha 90.00
_cell_angle_beta 90.00
_cell_angle_gamma 90.00
loop_
_atom_site_label
_atom_site_fract_x
_atom_site_fract_y
_atom_site_fract_z
_atom_site_occupancy
Rh1 0.000 0.000 0.000 1
Au1 0.000 0.500 0.500 1
C1 0.500 0.500 0.000 1
Br1 0.500 0.500 0.500 1
# Uncorrected formation energy: 212 kJ per mole of atoms
# Total energy: -2.7634 eV per atom
# Calculated density: 9.8 g/cm3
# DOS at the Fermi energy: 4.95 states/eV per cell
# Relative energy among the computed polymorphs: 197 meV per atom

---

# 10
# SbAuC2Br (PBE, relaxed)
data_SbAuC2Br
_chemical_formula_sum 'Sb1 Au1 C2 Br1'
_space_group_name_H-M_alt 'P 4/m m m'
_space_group_IT_number 123
_space_group_name_Hall '-P 4 2'
_cell_length_a 3.985
_cell_length_b 3.985
_cell_length_c 6.488
_cell_angle_alpha 90.00
_cell_angle_beta 90.00
_cell_angle_gamma 90.00
loop_
_atom_site_label
_atom_site_fract_x
_atom_site_fract_y
_atom_site_fract_z
_atom_site_occupancy
Sb1 0.000 0.000 0.000 1
Au1 0.500 0.500 0.000 1
C1 0.000 0.500 0.500 1
Br1 0.500 0.500 0.500 1
# Uncorrected formation energy: 250 kJ per mole of atoms
# Total energy: -2.9087 eV per atom
# Calculated density: 6.8 g/cm3
# DOS at the Fermi energy: 4.21 states/eV per cell

---

# 11
# AuCSe2Br (PBE, relaxed)
data_AuCSe2Br
_chemical_formula_sum 'Au1 C1 Se2 Br1'
_space_group_name_H-M_alt 'P 4/m m m'
_space_group_IT_number 123
_space_group_name_Hall '-P 4 2'
_cell_length_a 5.180
_cell_length_b 5.180
_cell_length_c 5.202
_cell_angle_alpha 90.00
_cell_angle_beta 90.00
_cell_angle_gamma 90.00
loop_
_atom_site_label
_atom_site_fract_x
_atom_site_fract_y
_atom_site_fract_z
_atom_site_occupancy
Au1 0.000 0.000 0.000 1
C1 0.500 0.500 0.500 1
Se1 0.000 0.500 0.000 1
Br1 0.000 0.000 0.500 1
# Uncorrected formation energy: 178 kJ per mole of atoms
# Total energy: -2.3823 eV per atom
# Calculated density: 5.3 g/cm3
# DOS at the Fermi energy: 5.63 states/eV per cell
# Relative energy among the computed polymorphs: 715 meV per atom

---

# 12
# AuCSe2Br (PBE, relaxed)
data_AuCSe2Br
_chemical_formula_sum 'Au1 C1 Se2 Br1'
_space_group_name_H-M_alt 'P 4/m m m'
_space_group_IT_number 123
_space_group_name_Hall '-P 4 2'
_cell_length_a 4.118
_cell_length_b 4.118
_cell_length_c 8.104
_cell_angle_alpha 90.00
_cell_angle_beta 90.00
_cell_angle_gamma 90.00
loop_
_atom_site_label
_atom_site_fract_x
_atom_site_fract_y
_atom_site_fract_z
_atom_site_occupancy
Au1 0.000 0.000 0.000 1
C1 0.500 0.500 0.500 1
Se1 0.000 0.500 0.500 1
Br1 0.500 0.500 0.000 1
# Uncorrected formation energy: 109 kJ per mole of atoms
# Total energy: -3.0974 eV per atom
# Calculated density: 5.4 g/cm3
# DOS at the Fermi energy: 2.57 states/eV per cell
# Relative energy among the computed polymorphs: 0 meV per atom

---

# 13
# TaAuC2Br (PBE, relaxed)
data_TaAuC2Br
_chemical_formula_sum 'Ta1 Au1 C2 Br1'
_space_group_name_H-M_alt 'P 4/m m m'
_space_group_IT_number 123
_space_group_name_Hall '-P 4 2'
_cell_length_a 3.948
_cell_length_b 3.948
_cell_length_c 5.717
_cell_angle_alpha 90.00
_cell_angle_beta 90.00
_cell_angle_gamma 90.00
loop_
_atom_site_label
_atom_site_fract_x
_atom_site_fract_y
_atom_site_fract_z
_atom_site_occupancy
Ta1 0.000 0.000 0.000 1
Au1 0.000 0.000 0.500 1
C1 0.000 0.500 0.500 1
Br1 0.500 0.500 0.000 1
# Uncorrected formation energy: 233 kJ per mole of atoms
# Total energy: -4.6380 eV per atom
# Calculated density: 9.0 g/cm3
# DOS at the Fermi energy: 6.23 states/eV per cell

---

# 14
# CaAuBr (PBE, relaxed)
data_CaAuBr
_chemical_formula_sum 'Ca4 Au4 Br4'
_space_group_name_H-M_alt 'F -4 3 m'
_space_group_IT_number 216
_space_group_name_Hall 'F -4 2 3'
_cell_length_a 7.130
_cell_length_b 7.130
_cell_length_c 7.130
_cell_angle_alpha 90.00
_cell_angle_beta 90.00
_cell_angle_gamma 90.00
loop_
_atom_site_label
_atom_site_fract_x
_atom_site_fract_y
_atom_site_fract_z
_atom_site_occupancy
Ca1 0.000 0.000 0.000 1
Au1 0.250 0.250 0.250 1
Br1 0.000 0.000 0.500 1
# Uncorrected formation energy: -75 kJ per mole of atoms
# Total energy: -3.0898 eV per atom
# Calculated density: 5.8 g/cm3
# Relative energy among the computed polymorphs: 453 meV per atom

---

# 15
# CaAuBr5 (PBE, relaxed)
data_CaAuBr5
_chemical_formula_sum 'Ca4 Au4 Br20'
_space_group_name_H-M_alt 'C 1 2/c 1'
_space_group_IT_number 15
_space_group_name_Hall '-C 2yc'
_cell_length_a 11.887
_cell_length_b 8.616
_cell_length_c 9.472
_cell_angle_alpha 90.00
_cell_angle_beta 94.12
_cell_angle_gamma 90.00
loop_
_atom_site_label
_atom_site_fract_x
_atom_site_fract_y
_atom_site_fract_z
_atom_site_occupancy
Ca1 0.000 0.051 0.250 1
Au1 0.250 0.250 0.000 1
Br1 0.000 0.265 0.750 1
Br2 0.124 0.342 0.180 1
Br3 0.167 0.017 0.522 1
# Uncorrected formation energy: -86 kJ per mole of atoms
# Total energy: -2.8354 eV per atom
# Calculated density: 4.4 g/cm3

---

# 16
# CaAuBr (PBE, relaxed)
data_CaAuBr
_chemical_formula_sum 'Ca1 Au1 Br1'
_space_group_name_H-M_alt 'P 3 m 1'
_space_group_IT_number 156
_space_group_name_Hall 'P 3 -2"'
_cell_length_a 4.1590
_cell_length_b 4.1590
_cell_length_c 6.3072
_cell_angle_alpha 90.00
_cell_angle_beta 90.00
_cell_angle_gamma 120.00
loop_
_atom_site_label
_atom_site_fract_x
_atom_site_fract_y
_atom_site_fract_z
_atom_site_occupancy
Ca1 0.0000 0.0000 0.0000 1
Au1 0.6667 0.3333 0.2780 1
Br1 0.3333 0.6667 0.7357 1
# Uncorrected formation energy: -109 kJ per mole of atoms
# Total energy: -3.4447 eV per atom
# Calculated density: 5.6 g/cm3
# DOS at the Fermi energy: 0.00 states/eV per cell
# Relative energy among the computed polymorphs: 98 meV per atom

---

# 17
# Ca3Au5Br12 (PBE, relaxed)
data_Ca3Au5Br12
_chemical_formula_sum 'Ca24 Au40 Br96'
_space_group_name_H-M_alt 'I a -3 d'
_space_group_IT_number 230
_space_group_name_Hall '-I 4bd 2c 3'
_cell_length_a 16.913
_cell_length_b 16.913
_cell_length_c 16.913
_cell_angle_alpha 90.00
_cell_angle_beta 90.00
_cell_angle_gamma 90.00
loop_
_atom_site_label
_atom_site_fract_x
_atom_site_fract_y
_atom_site_fract_z
_atom_site_occupancy
Ca1 0.000 0.250 0.125 1
Au1 0.000 0.000 0.000 1
Au2 0.000 0.250 0.375 1
Br1 0.021 0.065 0.652 1
# Uncorrected formation energy: -76 kJ per mole of atoms
# Total energy: -2.9064 eV per atom
# Calculated density: 5.7 g/cm3
# DOS at the Fermi energy: 83.04 states/eV per cell

---

# 18
# CaAu2Br8 (PBE, relaxed)
data_CaAu2Br8
_chemical_formula_sum 'Ca2 Au4 Br16'
_space_group_name_H-M_alt 'C 1 2/m 1'
_space_group_IT_number 12
_space_group_name_Hall '-C 2y'
_cell_length_a 12.474
_cell_length_b 10.092
_cell_length_c 7.386
_cell_angle_alpha 90.00
_cell_angle_beta 111.38
_cell_angle_gamma 90.00
loop_
_atom_site_label
_atom_site_fract_x
_atom_site_fract_y
_atom_site_fract_z
_atom_site_occupancy
Ca1 0.000 0.000 0.000 1
Au1 0.157 0.000 0.613 1
Br1 0.101 0.500 0.098 1
Br2 0.104 0.181 0.807 1
Br3 0.223 0.000 0.339 1
# Uncorrected formation energy: -47 kJ per mole of atoms
# Total energy: -2.4850 eV per atom
# Calculated density: 4.1 g/cm3
# DOS at the Fermi energy: 6.52 states/eV per cell

---

# 19
# CaAuBr (PBE, relaxed)
data_CaAuBr
_chemical_formula_sum 'Ca2 Au2 Br2'
_space_group_name_H-M_alt 'P 4/n m m'
_space_group_IT_number 129
_cell_length_a 3.945
_cell_length_b 3.945
_cell_length_c 10.398
_cell_angle_alpha 90.00
_cell_angle_beta 90.00
_cell_angle_gamma 90.00
loop_
_space_group_symop_operation_xyz
'x,y,z'
'-x,-y,-z'
'-y+1/2,x,z'
'y+1/2,-x,-z'
'-x+1/2,-y+1/2,z'
'x+1/2,y+1/2,-z'
'y,-x+1/2,z'
'-y,x+1/2,-z'
'x+1/2,-y,-z'
'-x+1/2,y,z'
'-y,-x,-z'
'y,x,z'
'-x,y+1/2,-z'
'x,-y+1/2,z'
'y+1/2,x+1/2,-z'
'-y+1/2,-x+1/2,z'
loop_
_atom_site_label
_atom_site_fract_x
_atom_site_fract_y
_atom_site_fract_z
_atom_site_occupancy
Ca1 0.250 0.250 0.228 1
Au1 0.250 0.750 0.000 1
Br1 0.250 0.250 0.644 1
# Uncorrected formation energy: -118 kJ per mole of atoms
# Total energy: -3.5425 eV per atom
# Calculated density: 6.5 g/cm3
# DOS at the Fermi energy: 1.83 states/eV per cell
# Relative energy among the computed polymorphs: 0 meV per atom

---

# 20
# CaAuBr3 (PBE, relaxed)
data_CaAuBr3
_chemical_formula_sum 'Ca1 Au1 Br3'
_space_group_name_H-M_alt 'P m -3 m'
_space_group_IT_number 221
_space_group_name_Hall '-P 4 2 3'
_cell_length_a 5.600
_cell_length_b 5.600
_cell_length_c 5.600
_cell_angle_alpha 90.00
_cell_angle_beta 90.00
_cell_angle_gamma 90.00
loop_
_atom_site_label
_atom_site_fract_x
_atom_site_fract_y
_atom_site_fract_z
_atom_site_occupancy
Ca1 0.000 0.000 0.000 1
Au1 0.500 0.500 0.500 1
Br1 0.000 0.000 0.500 1
# Uncorrected formation energy: -66 kJ per mole of atoms
# Total energy: -2.7427 eV per atom
# Calculated density: 4.5 g/cm3
# DOS at the Fermi energy: 2.32 states/eV per cell
# Relative energy among the computed polymorphs: 0 meV per atom